{
  "formula": "Li2BeOs",
  "functional": "GGA-PBE",
  "state": "relaxed",
  "lattice": [[4.572, 0.013, 0.030], [3.890, 2.402, 0.030], [1.625, 0.464, 4.490]],
  "species": ["Os", "Li", "Li", "Be"],
  "frac_coords": [[0.480, 0.480, 0.599], [0.259, 0.259, 0.184], [0.022, 0.022, 0.070], [0.740, 0.740, 0.648]]
}

***

{
  "formula": "Be2CrAg",
  "functional": "GGA-PBE",
  "state": "relaxed",
  "lattice": [[-0.981, -0.444, -3.537], [-2.252, -1.621, 0.828], [-3.647, 2.821, 0.657]],
  "species": ["Be", "Be", "Cr", "Ag"],
  "frac_coords": [[0.000, 0.190, 0.996], [0.500, 0.052, 0.270], [0.000, 0.479, 0.418], [0.500, 0.779, 0.816]]
}

***

{
  "formula": "La2ErGe3Pd4",
  "functional": "GGA-PBE",
  "state": "relaxed",
  "lattice": [[-3.059, -2.501, -1.791], [2.386, -0.335, -3.608], [5.009, -9.105, 4.159]],
  "species": ["Ge", "Ge", "Ge", "Pd", "Pd", "Pd", "Pd", "Er", "La", "La"],
  "frac_coords": [[0.000, 0.000, 0.500], [0.000, 0.500, 0.121], [0.500, 0.000, 0.879], [0.000, 0.000, 0.000], [0.500, 0.500, 0.000], [0.500, 0.000, 0.655], [0.000, 0.500, 0.345], [0.500, 0.500, 0.500], [0.500, 0.000, 0.226], [0.000, 0.500, 0.774]]
}

***

{
  "formula": "KIn2Pd",
  "functional": "GGA-PBE",
  "state": "relaxed",
  "lattice": [[5.925, 0.000, 0.000], [0.000, 5.925, 0.000], [2.963, 2.963, 8.595]],
  "species": ["Pd", "Pd", "In", "In", "In", "In", "K", "K"],
  "frac_coords": [[0.000, 0.000, 0.000], [0.750, 0.250, 0.500], [0.875, 0.089, 0.750], [0.911, 0.625, 0.250], [0.375, 0.161, 0.750], [0.839, 0.125, 0.250], [0.250, 0.750, 0.500], [0.500, 0.500, 0.000]]
}

***

Number 1: Fermi-level density of states 0.91 states/eV/cell, magnetization 0.000 μB/atom, calculated formation energy 0.104 eV per atom. Number 2: Fermi-level density of states 1.44 states/eV/cell, magnetization 0.633 μB/atom, calculated formation energy 0.239 eV per atom. Number 3: Fermi-level density of states 7.00 states/eV/cell, magnetization 0.000 μB/atom, calculated formation energy -0.881 eV per atom. Number 4: Fermi-level density of states 4.87 states/eV/cell, magnetization 0.000 μB/atom, calculated formation energy -0.065 eV per atom.